# 1
DFT (PBE) results for a relaxed RuS3N crystal.

Structure (extended XYZ):
```
5
Lattice="4.6170 0.0000 0.0000 0.0000 4.6170 0.0000 0.0000 0.0000 4.6170" Properties=species:S:1:pos:R:3 pbc="T T T"
Ru 0.0000 0.0000 0.0000
S 0.0000 0.0000 2.3085
S 0.0000 2.3085 0.0000
S 2.3085 0.0000 0.0000
N 2.3085 2.3085 2.3085
```

Properties
E_tot	-4.497	eV/atom
DOS(E_F)	7.0	states/eV per cell
space group	Pm-3m, No. 221

# 2
DFT (PBE) results for a relaxed SbRuSN2 crystal.

Structure (extended XYZ):
```
5
Lattice="3.9390 0.0000 0.0000 0.0000 3.9390 0.0000 0.0000 0.0000 5.3054" Properties=species:S:1:pos:R:3 pbc="T T T"
Sb 0.0000 0.0000 0.0000
Ru 1.9695 1.9695 2.6527
S 0.0000 0.0000 2.6527
N 0.0000 1.9695 0.0000
N 1.9695 0.0000 0.0000
```

Properties
E_tot	-5.170	eV/atom
DOS(E_F)	4.2	states/eV per cell
space group	P4/mmm, No. 123

# 3
DFT (PBE) results for a relaxed SbRuSN2 crystal.

Structure (extended XYZ):
```
5
Lattice="3.8871 0.0000 0.0000 0.0000 3.8871 0.0000 0.0000 0.0000 4.9975" Properties=species:S:1:pos:R:3 pbc="T T T"
Sb 0.0000 0.0000 0.0000
Ru 1.9435 1.9435 2.4988
S 1.9435 1.9435 0.0000
N 0.0000 1.9435 2.4988
N 1.9435 0.0000 2.4988
```

Properties
E_tot	-6.041	eV/atom
DOS(E_F)	2.5	states/eV per cell
space group	P4/mmm, No. 123

# 4
DFT (PBE) results for a relaxed SbRuS2N crystal.

Structure (extended XYZ):
```
5
Lattice="5.0461 0.0000 0.0000 0.0000 5.0461 0.0000 0.0000 0.0000 3.8850" Properties=species:S:1:pos:R:3 pbc="T T T"
Sb 0.0000 0.0000 0.0000
Ru 2.5230 2.5230 1.9425
S 0.0000 2.5230 0.0000
S 2.5230 0.0000 0.0000
N 0.0000 0.0000 1.9425
```

Properties
E_tot	-4.608	eV/atom
DOS(E_F)	3.9	states/eV per cell
space group	P4/mmm, No. 123

# 5
DFT (PBE) results for a relaxed SbRuS2N crystal.

Structure (extended XYZ):
```
5
Lattice="4.8732 0.0000 0.0000 0.0000 4.8732 0.0000 0.0000 0.0000 3.6810" Properties=species:S:1:pos:R:3 pbc="T T T"
Sb 0.0000 0.0000 0.0000
Ru 2.4366 2.4366 1.8405
S 0.0000 2.4366 1.8405
S 2.4366 0.0000 1.8405
N 2.4366 2.4366 0.0000
```

Properties
E_tot	-5.681	eV/atom
DOS(E_F)	4.1	states/eV per cell
space group	P4/mmm, No. 123

# 6
DFT (PBE) results for a relaxed ScRuS2N crystal.

Structure (extended XYZ):
```
5
Lattice="4.7980 0.0000 0.0000 0.0000 4.7980 0.0000 0.0000 0.0000 3.6590" Properties=species:S:1:pos:R:3 pbc="T T T"
Sc 0.0000 0.0000 0.0000
Ru 2.3990 2.3990 1.8295
S 0.0000 2.3990 1.8295
S 2.3990 0.0000 1.8295
N 2.3990 2.3990 0.0000
```

Properties
E_tot	-6.720	eV/atom
DOS(E_F)	2.8	states/eV per cell
space group	P4/mmm, No. 123

# 7
DFT (PBE) results for a relaxed ScRuS2N crystal.

Structure (extended XYZ):
```
5
Lattice="4.9085 0.0000 0.0000 0.0000 4.9085 0.0000 0.0000 0.0000 3.9804" Properties=species:S:1:pos:R:3 pbc="T T T"
Sc 0.0000 0.0000 0.0000
Ru 2.4542 2.4542 1.9902
S 0.0000 2.4542 0.0000
S 2.4542 0.0000 0.0000
N 0.0000 0.0000 1.9902
```

Properties
E_tot	-5.742	eV/atom
DOS(E_F)	7.3	states/eV per cell
space group	P4/mmm, No. 123

# 8
DFT (PBE) results for a relaxed RuSeSN2 crystal.

Structure (extended XYZ):
```
5
Lattice="3.5939 0.0000 0.0000 0.0000 3.5939 0.0000 0.0000 0.0000 6.5831" Properties=species:S:1:pos:R:3 pbc="T T T"
Ru 0.0000 0.0000 0.0000
Se 1.7969 1.7969 3.2916
S 1.7969 1.7969 0.0000
N 0.0000 1.7969 3.2916
N 1.7969 0.0000 3.2916
```

Properties
E_tot	-4.877	eV/atom
DOS(E_F)	4.2	states/eV per cell
space group	P4/mmm, No. 123

# 9
DFT (PBE) results for a relaxed RuSeSN2 crystal.

Structure (extended XYZ):
```
5
Lattice="3.7555 0.0000 0.0000 0.0000 3.7555 0.0000 0.0000 0.0000 5.3991" Properties=species:S:1:pos:R:3 pbc="T T T"
Ru 0.0000 0.0000 0.0000
Se 1.8778 1.8778 2.6995
S 0.0000 0.0000 2.6995
N 0.0000 1.8778 0.0000
N 1.8778 0.0000 0.0000
```

Properties
E_tot	-5.780	eV/atom
DOS(E_F)	4.1	states/eV per cell
space group	P4/mmm, No. 123

# 10
DFT (PBE) results for a relaxed RuSeSN2 crystal.

Structure (extended XYZ):
```
5
Lattice="3.7341 0.0000 0.0000 0.0000 3.7341 0.0000 0.0000 0.0000 5.6571" Properties=species:S:1:pos:R:3 pbc="T T T"
Ru 0.0000 0.0000 0.0000
Se 0.0000 0.0000 2.8286
S 1.8671 1.8671 2.8286
N 0.0000 1.8671 0.0000
N 1.8671 0.0000 0.0000
```

Properties
E_tot	-5.830	eV/atom
DOS(E_F)	2.5	states/eV per cell
space group	P4/mmm, No. 123

# 11
DFT (PBE) results for a relaxed RuSeSN2 crystal.

Structure (extended XYZ):
```
5
Lattice="3.4170 0.0000 0.0000 0.0000 3.4170 0.0000 0.0000 0.0000 7.5590" Properties=species:S:1:pos:R:3 pbc="T T T"
Ru 0.0000 0.0000 0.0000
Se 1.7085 1.7085 0.0000
S 1.7085 1.7085 3.7795
N 0.0000 1.7085 3.7795
N 1.7085 0.0000 3.7795
```

Properties
E_tot	-5.084	eV/atom
DOS(E_F)	3.9	states/eV per cell
space group	P4/mmm, No. 123

# 12
DFT (PBE) results for a relaxed SnRuSN2 crystal.

Structure (extended XYZ):
```
5
Lattice="3.8855 0.0000 0.0000 0.0000 3.8855 0.0000 0.0000 0.0000 5.0877" Properties=species:S:1:pos:R:3 pbc="T T T"
Sn 0.0000 0.0000 0.0000
Ru 1.9428 1.9428 2.5438
S 1.9428 1.9428 0.0000
N 0.0000 1.9428 2.5438
N 1.9428 0.0000 2.5438
```

Properties
E_tot	-6.199	eV/atom
DOS(E_F)	2.5	states/eV per cell
space group	P4/mmm, No. 123

no.,distance to the lowest polymorph of the same formula (meV per atom),formation energy from raw total energies (eV/atom)
1,239,1.499
2,870,1.665
3,0,0.795
4,1073,1.388
5,0,0.315
6,0,-0.282
7,978,0.696
8,954,1.831
9,50,0.927
10,0,0.877
11,746,1.623
12,0,0.612